1.
DFT (PBE-GGA) results for a relaxed structure of Ac2TaO6.

Results
As for the distance to the lowest polymorph of the same formula: 0.000 eV/atom. For the uncorrected formation energy, the calculation gives -26.81 eV/f.u.

Cell lengths 5.8864, 6.5024, 9.5397 Å; angles 90.00, 121.47, 90.00 degrees
Last column: nearest neighbours and their distance in Å.
Space group P2_1/c (No. 14)
One atom of each set of equivalent atoms:
Ac1 0.2072 0.0842 0.2433 [4 per cell]  7 O 2.49-2.73
Ta1 0.5000 0.0000 0.0000 [2 per cell]  6 O 1.98-2.02
O1 0.1681 0.1478 0.9507 [4 per cell]  1 Ta 2.00
O2 0.2829 0.7385 0.9169 [4 per cell]  1 Ta 2.02
O3 0.4245 0.0699 0.7774 [4 per cell]  1 Ta 1.98

=====

2.
DFT (PBE-GGA) results for a relaxed structure of Ac2TaO5.

Results
For the uncorrected formation energy, the calculation gives -23.89 eV/f.u.

Cell lengths 4.0731, 12.8847, 11.1926 Å; angles 90.00, 90.00, 90.00 degrees
Last column: nearest neighbours and their distance in Å.
Space group Cmcm (No. 63)
One atom of each set of equivalent atoms:
Ac1 0.0000 0.1362 0.0770 [8 per cell]  5 O 2.44-2.58
Ta1 0.0000 0.1579 0.7500 [4 per cell]  6 O 1.95-2.13
O1 0.0000 0.0537 0.6238 [8 per cell]  1 Ta 1.95
O2 0.0000 0.2623 0.6021 [8 per cell]  1 Ta 2.13
O3 0.0000 0.3104 0.2500 [4 per cell]  2 Ta 2.08

=====

3.
DFT (PBE-GGA) results for a relaxed structure of Ac2TaO6.

Results
As for the distance to the lowest polymorph of the same formula: 0.063 eV/atom. For the uncorrected formation energy, the calculation gives -26.24 eV/f.u.

Cell lengths 5.3701, 5.3701, 10.8699 Å; angles 90.00, 90.00, 90.00 degrees
Last column: nearest neighbours and their distance in Å.
Space group P4_2/mnm (No. 136)
One atom of each set of equivalent atoms:
Ac1 0.0000 0.0000 0.1671 [4 per cell]  6 O 2.47-2.55
Ta1 0.0000 0.0000 0.5000 [2 per cell]  6 O 2.01-2.02
O1 0.1772 0.1772 0.3615 [8 per cell]  1 Ta 2.02
O2 0.2351 0.2351 0.0000 [4 per cell]  1 Ta 2.01